Compound: Nd2GdPu
Source: Alexandria
Functional: PBE
Structure: relaxed

Relative energy among the computed polymorphs   0.0541 eV/atom
Magnetization   14.6 μB/cell
Space-group type   Fm-3m, No. 225
Formation energy from the elements   0.2026 eV/atom
Theoretical density   8.7 Mg/m³

The structure in CIF format:
```
data_Nd2GdPu
_symmetry_space_group_name_H-M 'P 1'
_symmetry_Int_Tables_number 1
_cell_length_a 5.705
_cell_length_b 5.705
_cell_length_c 5.705
_cell_angle_alpha 60.00
_cell_angle_beta 60.00
_cell_angle_gamma 60.00
loop_
_symmetry_equiv_pos_as_xyz
'x,y,z'
loop_
_atom_site_label
_atom_site_type_symbol
_atom_site_fract_x
_atom_site_fract_y
_atom_site_fract_z
Gd1 Gd 0.000 0.000 0.000
Nd1 Nd 0.250 0.250 0.250
Nd2 Nd 0.750 0.750 0.750
Pu1 Pu 0.500 0.500 0.500
```

=====

Compound: NdGdPuSc
Source: Alexandria
Functional: PBE
Structure: relaxed

Magnetization   0.0 μB/cell
Space-group type   F-43m, No. 216
Formation energy from the elements   0.2008 eV/atom
Theoretical density   8.3 Mg/m³

The structure in CIF format:
```
data_NdGdPuSc
_symmetry_space_group_name_H-M 'P 1'
_symmetry_Int_Tables_number 1
_cell_length_a 5.512
_cell_length_b 5.512
_cell_length_c 5.512
_cell_angle_alpha 60.00
_cell_angle_beta 60.00
_cell_angle_gamma 60.00
loop_
_symmetry_equiv_pos_as_xyz
'x,y,z'
loop_
_atom_site_label
_atom_site_type_symbol
_atom_site_fract_x
_atom_site_fract_y
_atom_site_fract_z
Sc1 Sc 0.750 0.750 0.750
Gd1 Gd 0.500 0.500 0.500
Nd1 Nd 0.000 0.000 0.000
Pu1 Pu 0.250 0.250 0.250
```

=====

Compound: NdGdPuSn
Source: Alexandria
Functional: PBE
Structure: relaxed

Magnetization   14.6 μB/cell
Space-group type   F-43m, No. 216
Formation energy from the elements   -0.1163 eV/atom
Theoretical density   9.6 Mg/m³

The structure in CIF format:
```
data_NdGdPuSn
_symmetry_space_group_name_H-M 'P 1'
_symmetry_Int_Tables_number 1
_cell_length_a 5.465
_cell_length_b 5.465
_cell_length_c 5.465
_cell_angle_alpha 60.00
_cell_angle_beta 60.00
_cell_angle_gamma 60.00
loop_
_symmetry_equiv_pos_as_xyz
'x,y,z'
loop_
_atom_site_label
_atom_site_type_symbol
_atom_site_fract_x
_atom_site_fract_y
_atom_site_fract_z
Gd1 Gd 0.000 0.000 0.000
Nd1 Nd 0.250 0.250 0.250
Sn1 Sn 0.750 0.750 0.750
Pu1 Pu 0.500 0.500 0.500
```

=====

Compound: RbNd2Gd
Source: Alexandria
Functional: PBE
Structure: relaxed

Magnetization   6.9 μB/cell
Space-group type   R-3m, No. 166
Formation energy from the elements   0.2493 eV/atom
Theoretical density   5.5 Mg/m³

The structure in CIF format:
```
data_RbNd2Gd
_symmetry_space_group_name_H-M 'P 1'
_symmetry_Int_Tables_number 1
_cell_length_a 3.702
_cell_length_b 3.702
_cell_length_c 13.744
_cell_angle_alpha 82.26
_cell_angle_beta 82.26
_cell_angle_gamma 60.00
loop_
_symmetry_equiv_pos_as_xyz
'x,y,z'
loop_
_atom_site_label
_atom_site_type_symbol
_atom_site_fract_x
_atom_site_fract_y
_atom_site_fract_z
Gd1 Gd 0.500 0.500 0.500
Nd1 Nd 0.096 0.096 0.712
Nd2 Nd 0.904 0.904 0.288
Rb1 Rb 0.000 0.000 0.000
```

=====

Compound: RbNdGd2
Source: Alexandria
Functional: PBE
Structure: relaxed

Magnetization   15.4 μB/cell
Space-group type   R-3m, No. 166
Formation energy from the elements   0.2720 eV/atom
Theoretical density   5.7 Mg/m³

The structure in CIF format:
```
data_RbNdGd2
_symmetry_space_group_name_H-M 'P 1'
_symmetry_Int_Tables_number 1
_cell_length_a 3.690
_cell_length_b 3.690
_cell_length_c 13.662
_cell_angle_alpha 82.24
_cell_angle_beta 82.24
_cell_angle_gamma 60.00
loop_
_symmetry_equiv_pos_as_xyz
'x,y,z'
loop_
_atom_site_label
_atom_site_type_symbol
_atom_site_fract_x
_atom_site_fract_y
_atom_site_fract_z
Gd1 Gd 0.096 0.096 0.712
Gd2 Gd 0.904 0.904 0.288
Nd1 Nd 0.500 0.500 0.500
Rb1 Rb 0.000 0.000 0.000
```

=====

Compound: Nd3GdRh
Source: Alexandria
Functional: PBE
Structure: relaxed

Magnetization   8.4 μB/cell
Space-group type   Pm-3m, No. 221
Formation energy from the elements   -0.1412 eV/atom
Theoretical density   6.6 Mg/m³

The structure in CIF format:
```
data_Nd3GdRh
_symmetry_space_group_name_H-M 'P 1'
_symmetry_Int_Tables_number 1
_cell_length_a 5.582
_cell_length_b 5.582
_cell_length_c 5.582
_cell_angle_alpha 90.00
_cell_angle_beta 90.00
_cell_angle_gamma 90.00
loop_
_symmetry_equiv_pos_as_xyz
'x,y,z'
loop_
_atom_site_label
_atom_site_type_symbol
_atom_site_fract_x
_atom_site_fract_y
_atom_site_fract_z
Rh1 Rh 0.000 0.000 0.000
Gd1 Gd 0.500 0.500 0.500
Nd1 Nd 0.000 0.500 0.000
Nd2 Nd 0.000 0.000 0.500
Nd3 Nd 0.500 0.000 0.000
```

=====

Compound: NdGdRh2
Source: Alexandria
Functional: PBE
Structure: relaxed

Relative energy among the computed polymorphs   0.0041 eV/atom
Magnetization   7.0 μB/cell
Space-group type   P4/mmm, No. 123
Formation energy from the elements   -0.7077 eV/atom
Theoretical density   9.8 Mg/m³

The structure in CIF format:
```
data_NdGdRh2
_symmetry_space_group_name_H-M 'P 1'
_symmetry_Int_Tables_number 1
_cell_length_a 3.431
_cell_length_b 5.004
_cell_length_c 5.004
_cell_angle_alpha 90.00
_cell_angle_beta 90.00
_cell_angle_gamma 90.00
loop_
_symmetry_equiv_pos_as_xyz
'x,y,z'
loop_
_atom_site_label
_atom_site_type_symbol
_atom_site_fract_x
_atom_site_fract_y
_atom_site_fract_z
Rh1 Rh 0.000 0.000 0.500
Rh2 Rh 0.000 0.500 0.000
Gd1 Gd 0.500 0.500 0.500
Nd1 Nd 0.500 0.000 0.000
```

=====

Compound: NdGdRh2
Source: Alexandria
Functional: PBE
Structure: relaxed

Relative energy among the computed polymorphs   0.0000 eV/atom
Magnetization   7.0 μB/cell
Space-group type   Fm-3m, No. 225
Formation energy from the elements   -0.7119 eV/atom
Theoretical density   9.8 Mg/m³

The structure in CIF format:
```
data_NdGdRh2
_symmetry_space_group_name_H-M 'P 1'
_symmetry_Int_Tables_number 1
_cell_length_a 4.953
_cell_length_b 4.953
_cell_length_c 4.953
_cell_angle_alpha 60.00
_cell_angle_beta 60.00
_cell_angle_gamma 60.00
loop_
_symmetry_equiv_pos_as_xyz
'x,y,z'
loop_
_atom_site_label
_atom_site_type_symbol
_atom_site_fract_x
_atom_site_fract_y
_atom_site_fract_z
Rh1 Rh 0.250 0.250 0.250
Rh2 Rh 0.750 0.750 0.750
Gd1 Gd 0.000 0.000 0.000
Nd1 Nd 0.500 0.500 0.500
```

=====

Compound: NdGd3Rh
Source: Alexandria
Functional: PBE
Structure: relaxed

Magnetization   22.7 μB/cell
Space-group type   Pm-3m, No. 221
Formation energy from the elements   -0.2350 eV/atom
Theoretical density   7.3 Mg/m³

The structure in CIF format:
```
data_NdGd3Rh
_symmetry_space_group_name_H-M 'P 1'
_symmetry_Int_Tables_number 1
_cell_length_a 5.473
_cell_length_b 5.473
_cell_length_c 5.473
_cell_angle_alpha 90.00
_cell_angle_beta 90.00
_cell_angle_gamma 90.00
loop_
_symmetry_equiv_pos_as_xyz
'x,y,z'
loop_
_atom_site_label
_atom_site_type_symbol
_atom_site_fract_x
_atom_site_fract_y
_atom_site_fract_z
Rh1 Rh 0.000 0.000 0.000
Gd1 Gd 0.000 0.500 0.000
Gd2 Gd 0.000 0.000 0.500
Gd3 Gd 0.500 0.000 0.000
Nd1 Nd 0.500 0.500 0.500
```

=====

Compound: NdGdRh4
Source: Alexandria
Functional: PBE
Structure: relaxed

Magnetization   7.0 μB/cell
Space-group type   F-43m, No. 216
Formation energy from the elements   -0.6849 eV/atom
Theoretical density   10.7 Mg/m³

The structure in CIF format:
```
data_NdGdRh4
_symmetry_space_group_name_H-M 'P 1'
_symmetry_Int_Tables_number 1
_cell_length_a 5.389
_cell_length_b 5.389
_cell_length_c 5.389
_cell_angle_alpha 60.00
_cell_angle_beta 60.00
_cell_angle_gamma 60.00
loop_
_symmetry_equiv_pos_as_xyz
'x,y,z'
loop_
_atom_site_label
_atom_site_type_symbol
_atom_site_fract_x
_atom_site_fract_y
_atom_site_fract_z
Rh1 Rh 0.625 0.625 0.125
Rh2 Rh 0.625 0.125 0.625
Rh3 Rh 0.625 0.625 0.625
Rh4 Rh 0.125 0.625 0.625
Gd1 Gd 0.250 0.250 0.250
Nd1 Nd 0.000 0.000 0.000
```

=====

Compound: NdGdRuRh
Source: Alexandria
Functional: PBE
Structure: relaxed

Magnetization   7.0 μB/cell
Space-group type   F-43m, No. 216
Formation energy from the elements   -0.4387 eV/atom
Theoretical density   9.9 Mg/m³

The structure in CIF format:
```
data_NdGdRuRh
_symmetry_space_group_name_H-M 'P 1'
_symmetry_Int_Tables_number 1
_cell_length_a 4.933
_cell_length_b 4.933
_cell_length_c 4.933
_cell_angle_alpha 60.00
_cell_angle_beta 60.00
_cell_angle_gamma 60.00
loop_
_symmetry_equiv_pos_as_xyz
'x,y,z'
loop_
_atom_site_label
_atom_site_type_symbol
_atom_site_fract_x
_atom_site_fract_y
_atom_site_fract_z
Rh1 Rh 0.000 0.000 0.000
Gd1 Gd 0.750 0.750 0.750
Nd1 Nd 0.250 0.250 0.250
Ru1 Ru 0.500 0.500 0.500
```

=====

Compound: NdGdTlRh
Source: Alexandria
Functional: PBE
Structure: relaxed

Magnetization   7.1 μB/cell
Space-group type   F-43m, No. 216
Formation energy from the elements   -0.4221 eV/atom
Theoretical density   10.0 Mg/m³

The structure in CIF format:
```
data_NdGdTlRh
_symmetry_space_group_name_H-M 'P 1'
_symmetry_Int_Tables_number 1
_cell_length_a 5.227
_cell_length_b 5.227
_cell_length_c 5.227
_cell_angle_alpha 60.00
_cell_angle_beta 60.00
_cell_angle_gamma 60.00
loop_
_symmetry_equiv_pos_as_xyz
'x,y,z'
loop_
_atom_site_label
_atom_site_type_symbol
_atom_site_fract_x
_atom_site_fract_y
_atom_site_fract_z
Rh1 Rh 0.750 0.750 0.750
Tl1 Tl 0.250 0.250 0.250
Gd1 Gd 0.500 0.500 0.500
Nd1 Nd 0.000 0.000 0.000
```